# CdFeAg2

CdFeAg2 after structural relaxation (PBE-GGA, the Alexandria database).

Raw total energy in eV/atom: -3.473
Magnetic moment in μB per formula unit: 2.8
Energy of formation in meV per atom: 297

Lattice parameters (Å, degrees): 4.1706 4.1706 7.9343 90.00 90.00 90.00
Space group I-4m2 (No. 119)
Symmetry-distinct sites (fractional):
Cd (0.0000, 0.0000, 0.0000)
Fe (0.0000, 0.5000, 0.7500)
Ag (0.0000, 0.0000, 0.5000)
Ag (0.0000, 0.5000, 0.2500)